Model A:
DFT (PBE) results for a geometry-optimized HoHfCd structure.

Lattice parameters (Å, degrees): 3.346 3.346 13.085 90.00 90.00 90.00
Space group I4mm (No. 107)
Unique sites:
Ho (0.000, 0.000, 0.000) x2
Hf (0.000, 0.000, 0.669) x2
Cd (0.000, 0.000, 0.324) x2


Model B:
DFT (PBE) results for a geometry-optimized HoHfCd structure.

Lattice parameters (Å, degrees): 3.719 3.719 23.921 90.00 90.00 90.00
Space group I4/mmm (No. 139)
Unique sites:
Ho (0.000, 0.000, 0.142) x4
Hf (0.000, 0.000, 0.277) x4
Cd (0.000, 0.000, 0.441) x4


Model C:
DFT (PBE) results for a geometry-optimized HoHfCd structure.

Lattice parameters (Å, degrees): 3.301 3.299 13.460 90.00 90.05 90.00
Space group P2_1/m (No. 11)
Unique sites:
Ho (0.250, 0.250, 0.246) x2
Hf (0.250, 0.250, 0.577) x2
Cd (0.250, 0.250, 0.926) x2


The structure with the greatest stability is model A.